1.
A plane-wave DFT calculation with PBE was carried out for PmLuFePd after structural relaxation.

The structure belongs to space group F-43m (No. 216); the cell edges are 6.910, 6.910 and 6.910 Å and the angles 90.00°, 90.00° and 90.00°. The asymmetric unit holds Pm at (0.000, 0.000, 0.000), Lu at (0.000, 0.000, 0.500), Fe at (0.250, 0.250, 0.750) and Pd at (0.250, 0.250, 0.250).

***

2.
A plane-wave DFT calculation with PBE was carried out for LuPuFePd after structural relaxation.

The structure belongs to space group F-43m (No. 216); the cell edges are 6.821, 6.821 and 6.821 Å and the angles 90.00°, 90.00° and 90.00°. The asymmetric unit holds Lu at (0.000, 0.000, 0.000), Pu at (0.000, 0.000, 0.500), Fe at (0.250, 0.250, 0.250) and Pd at (0.250, 0.250, 0.750).

***

no.,energy of formation from the pure elements (eV/atom)
1,-0.27
2,-0.23